# 1
{
  "formula": "TaBe3Rh4",
  "functional": "PBE",
  "state": "optimized geometry",
  "total_energy_ev_per_atom": -7.21,
  "formation_energy_ev_per_fu": -5.27,
  "spacegroup": "No. 123",
  "lattice": [[4.105, 0.000, 0.000], [0.000, 4.105, 0.000], [0.000, 0.000, 5.873]],
  "species": ["Ta", "Be", "Be", "Be", "Rh", "Rh", "Rh", "Rh"],
  "fractional_positions": [[0.000, 0.000, 0.000], [0.000, 0.000, 0.500], [0.500, 0.500, 0.000], [0.500, 0.500, 0.500], [0.000, 0.500, 0.266], [0.000, 0.500, 0.734], [0.500, 0.000, 0.266], [0.500, 0.000, 0.734]]
}

# 2
{
  "formula": "BaCuGeP",
  "functional": "PBE",
  "state": "optimized geometry",
  "total_energy_ev_per_atom": -4.44,
  "formation_energy_ev_per_fu": -1.73,
  "spacegroup": "No. 129",
  "lattice": [[3.927, 0.000, 0.000], [0.000, 3.927, 0.000], [0.000, 0.000, 12.143]],
  "species": ["Ba", "Ba", "Cu", "Cu", "Ge", "Ge", "P", "P"],
  "fractional_positions": [[0.250, 0.250, 0.244], [0.750, 0.750, 0.756], [0.250, 0.750, 0.000], [0.750, 0.250, 0.000], [0.250, 0.750, 0.500], [0.750, 0.250, 0.500], [0.250, 0.250, 0.889], [0.750, 0.750, 0.111]]
}

# 3
{
  "formula": "CaLaEr2In4",
  "functional": "PBE",
  "state": "optimized geometry",
  "total_energy_ev_per_atom": -3.83,
  "formation_energy_ev_per_fu": -3.64,
  "spacegroup": "No. 166",
  "lattice": [[2.694, 1.556, 8.889], [-2.694, 1.556, 8.889], [0.000, -3.111, 8.889]],
  "species": ["Ca", "La", "Er", "Er", "In", "In", "In", "In"],
  "fractional_positions": [[0.000, 0.000, 0.000], [0.500, 0.500, 0.500], [0.252, 0.252, 0.252], [0.748, 0.748, 0.748], [0.124, 0.124, 0.124], [0.374, 0.374, 0.374], [0.626, 0.626, 0.626], [0.876, 0.876, 0.876]]
}

# 4
{
  "formula": "InBiPCl2",
  "functional": "PBE",
  "state": "optimized geometry",
  "total_energy_ev_per_atom": -3.12,
  "formation_energy_uncorrected_ev_per_atom": 0.021,
  "de_polymorph_mev_per_atom": 0,
  "spacegroup": "No. 123",
  "lattice": [[5.814, 0.000, 0.000], [0.000, 5.814, 0.000], [0.000, 0.000, 5.993]],
  "species": ["In", "Bi", "P", "Cl", "Cl"],
  "fractional_positions": [[0.000, 0.000, 0.000], [0.500, 0.500, 0.500], [0.500, 0.500, 0.000], [0.000, 0.500, 0.500], [0.500, 0.000, 0.500]]
}

# 5
{
  "formula": "ZrScOsAu",
  "functional": "PBE",
  "state": "optimized geometry",
  "total_energy_ev_per_atom": -7.85,
  "formation_energy_ev_per_fu": -2.02,
  "spacegroup": "No. 216",
  "lattice": [[6.672, 0.000, 0.000], [0.000, 6.672, 0.000], [0.000, 0.000, 6.672]],
  "species": ["Zr", "Zr", "Zr", "Zr", "Sc", "Sc", "Sc", "Sc", "Os", "Os", "Os", "Os", "Au", "Au", "Au", "Au"],
  "fractional_positions": [[0.000, 0.000, 0.000], [0.000, 0.500, 0.500], [0.500, 0.000, 0.500], [0.500, 0.500, 0.000], [0.000, 0.000, 0.500], [0.000, 0.500, 0.000], [0.500, 0.000, 0.000], [0.500, 0.500, 0.500], [0.250, 0.250, 0.250], [0.250, 0.750, 0.750], [0.750, 0.250, 0.750], [0.750, 0.750, 0.250], [0.250, 0.250, 0.750], [0.250, 0.750, 0.250], [0.750, 0.250, 0.250], [0.750, 0.750, 0.750]]
}

# 6
{
  "formula": "MgInAs2O8",
  "functional": "PBE",
  "state": "optimized geometry",
  "total_energy_ev_per_atom": -5.80,
  "formation_energy_uncorrected_ev_per_atom": -1.356,
  "spacegroup": "No. 119",
  "lattice": [[-3.445, 3.445, 3.134], [3.445, -3.445, 3.134], [3.445, 3.445, -3.134]],
  "species": ["Mg", "In", "As", "As", "O", "O", "O", "O", "O", "O", "O", "O"],
  "fractional_positions": [[0.000, 0.000, 0.000], [0.750, 0.250, 0.500], [0.250, 0.750, 0.500], [0.500, 0.500, 0.000], [0.070, 0.381, 0.311], [0.070, 0.759, 0.689], [0.131, 0.317, 0.815], [0.241, 0.930, 0.311], [0.502, 0.317, 0.185], [0.619, 0.930, 0.689], [0.683, 0.498, 0.815], [0.683, 0.869, 0.185]]
}

# 7
{
  "formula": "CsNaZnTe2",
  "functional": "PBE",
  "state": "optimized geometry",
  "total_energy_ev_per_atom": -2.70,
  "formation_energy_uncorrected_ev_per_atom": -0.757,
  "spacegroup": "No. 67",
  "lattice": [[3.606, -8.056, 0.000], [3.606, 8.056, 0.000], [0.000, 0.000, 6.890]],
  "species": ["Cs", "Cs", "Na", "Na", "Zn", "Zn", "Te", "Te", "Te", "Te"],
  "fractional_positions": [[0.250, 0.750, 0.763], [0.750, 0.250, 0.237], [0.250, 0.250, 0.500], [0.750, 0.750, 0.500], [0.000, 0.000, 0.000], [0.500, 0.500, 0.000], [0.115, 0.885, 0.241], [0.385, 0.615, 0.241], [0.615, 0.385, 0.759], [0.885, 0.115, 0.759]]
}

# 8
{
  "formula": "LaPIrN",
  "functional": "PBE",
  "state": "optimized geometry",
  "total_energy_ev_per_atom": -8.02,
  "formation_energy_uncorrected_ev_per_atom": -1.142,
  "spacegroup": "No. 129",
  "lattice": [[3.951, 0.000, 0.000], [0.000, 3.951, 0.000], [0.000, 0.000, 8.244]],
  "species": ["La", "La", "P", "P", "Ir", "Ir", "N", "N"],
  "fractional_positions": [[0.250, 0.250, 0.164], [0.750, 0.750, 0.836], [0.250, 0.250, 0.661], [0.750, 0.750, 0.339], [0.250, 0.750, 0.500], [0.750, 0.250, 0.500], [0.250, 0.250, 0.865], [0.750, 0.750, 0.135]]
}

# 9
{
  "formula": "Tb8AgTe4Se3",
  "functional": "PBE",
  "state": "optimized geometry",
  "total_energy_ev_per_atom": -5.30,
  "formation_energy_uncorrected_ev_per_atom": -1.363,
  "spacegroup": "No. 166",
  "lattice": [[4.235, 2.445, 7.030], [-4.235, 2.445, 7.030], [0.000, -4.890, 7.030]],
  "species": ["Tb", "Tb", "Tb", "Tb", "Tb", "Tb", "Tb", "Tb", "Ag", "Te", "Te", "Te", "Te", "Se", "Se", "Se"],
  "fractional_positions": [[0.239, 0.239, 0.239], [0.240, 0.743, 0.743], [0.257, 0.257, 0.760], [0.257, 0.760, 0.257], [0.743, 0.240, 0.743], [0.743, 0.743, 0.240], [0.760, 0.257, 0.257], [0.761, 0.761, 0.761], [0.500, 0.500, 0.500], [0.000, 0.000, 0.000], [0.000, 0.500, 0.500], [0.500, 0.000, 0.500], [0.500, 0.500, 0.000], [0.000, 0.000, 0.500], [0.000, 0.500, 0.000], [0.500, 0.000, 0.000]]
}

Question: Which formula does entry 1 have?
Answer: TaBe3Rh4